Entry 1:
The following is a GGA-PBE calculation of an optimized crystal structure of TiPdSeN2, from Alexandria.

Output
- space group = P4/mmm
- energy above the most stable polymorph in this dataset (meV per atom) = 762
- energy relative to the elements, uncorrected (meV per atom) = 1163.6

Cell lengths 3.919, 3.919, 4.994 Å; angles 90.00, 90.00, 90.00 degrees
Fractional positions:
N  0.000  0.500  0.000
N  0.500  0.000  0.000
Se  0.000  0.000  0.500
Pd  0.000  0.000  0.000
Ti  0.500  0.500  0.500


Entry 2:
The following is a GGA-PBE calculation of an optimized crystal structure of Zn2SiTe, from Alexandria.

Output
- space group = I4/mmm
- energy above the most stable polymorph in this dataset (meV per atom) = 359
- energy relative to the elements, uncorrected (meV per atom) = 426.6

Cell lengths 5.176, 5.176, 5.176 Å; angles 129.96, 129.96, 73.47 degrees
Fractional positions:
Si  0.250  0.750  0.500
Te  0.750  0.250  0.500
Zn  0.000  0.000  0.000
Zn  0.500  0.500  0.000


Entry 3:
The following is a GGA-PBE calculation of an optimized crystal structure of MgInRe2, from Alexandria.

Output
- space group = Fm-3m
- energy above the most stable polymorph in this dataset (meV per atom) = 704
- ΔE_f (eV/atom) = 0.848

Cell lengths 4.560, 4.560, 4.560 Å; angles 60.00, 60.00, 60.00 degrees
Fractional positions:
Re  0.250  0.250  0.250
Re  0.750  0.750  0.750
Mg  0.000  0.000  0.000
In  0.500  0.500  0.500


Entry 4:
The following is a GGA-PBE calculation of an optimized crystal structure of VMo4W, from Alexandria.

Output
- space group = I4_1md
- energy above the most stable polymorph in this dataset (meV per atom) = 1600
- ΔE_f (eV/atom) = 1.506

Cell lengths 6.832, 6.832, 6.832 Å; angles 117.67, 117.67, 94.09 degrees
Fractional positions:
V  0.253  0.253  0.000
V  0.003  0.503  0.500
Mo  0.243  0.917  0.674
Mo  0.759  0.423  0.664
Mo  0.667  0.493  0.174
Mo  0.173  0.009  0.164
Mo  0.319  0.493  0.826
Mo  0.845  0.009  0.836
Mo  0.759  0.095  0.336
Mo  0.243  0.569  0.326
W  0.743  0.743  0.000
W  0.493  0.993  0.500